1.
La4Y5Er4 | PBE-GGA | relaxed

Cell and atoms, written as POSCAR:
```
La4Y5Er4
1.0
-6.493 6.493 2.561
6.493 -6.493 2.561
6.493 6.493 -2.561
La Y Er
4 5 4
Cartesian
4.962 1.011 0.000 La
5.481 -1.530 2.561 La
1.011 8.023 0.000 La
1.530 5.481 2.561 La
0.000 0.000 0.000 Y
7.019 4.042 0.000 Y
4.042 5.966 0.000 Y
2.451 0.526 2.561 Y
-0.526 2.451 2.561 Y
10.003 1.993 0.000 Er
1.993 2.983 0.000 Er
4.499 3.510 2.561 Er
-3.510 4.499 2.561 Er
```

Computed properties:
Mass density = 6.42 Mg/m³
Symmetry = I4/m (87)
ΔH_f (0 K) = 31 meV per atom

2.
LaY4Er8 | PBE-GGA | relaxed

Cell and atoms, written as POSCAR:
```
LaY4Er8
1.0
5.493 3.172 4.476
-5.493 3.172 4.476
0.000 -6.343 4.476
La Y Er
1 4 8
Cartesian
0.000 0.000 0.000 La
-5.493 0.000 6.714 Y
-2.747 1.586 2.238 Y
2.747 1.586 2.238 Y
0.000 0.000 6.714 Y
-2.633 -1.520 7.780 Er
0.000 0.000 3.499 Er
0.000 -3.041 5.648 Er
-2.633 1.520 5.648 Er
2.633 -1.520 7.780 Er
0.000 3.041 7.780 Er
0.000 0.000 9.929 Er
2.633 1.520 5.648 Er
```

Computed properties:
Mass density = 6.50 Mg/m³
Symmetry = R-3m (166)
ΔH_f (0 K) = 542 meV per atom

3.
La3Y12Er | PBE-GGA | relaxed

Cell and atoms, written as POSCAR:
```
La3Y12Er
1.0
5.096 0.000 0.000
0.000 5.096 0.000
0.000 0.000 20.404
La Y Er
3 12 1
Cartesian
0.000 0.000 0.000 La
0.000 0.000 5.114 La
0.000 0.000 15.289 La
0.000 2.548 2.570 Y
0.000 2.548 7.721 Y
0.000 2.548 12.682 Y
0.000 2.548 17.833 Y
2.548 0.000 2.570 Y
2.548 0.000 7.721 Y
2.548 0.000 12.682 Y
2.548 0.000 17.833 Y
2.548 2.548 0.000 Y
2.548 2.548 5.152 Y
2.548 2.548 10.202 Y
2.548 2.548 15.252 Y
0.000 0.000 10.202 Er
```

Computed properties:
Mass density = 5.17 Mg/m³
Symmetry = P4/mmm (123)
ΔH_f (0 K) = 32 meV per atom

4.
LaY10Er4 | PBE-GGA | relaxed

Cell and atoms, written as POSCAR:
```
LaY10Er4
1.0
-4.937 4.937 5.295
4.937 -4.937 5.295
4.937 4.937 -5.295
La Y Er
1 10 4
Cartesian
0.000 0.000 0.000 La
2.129 -1.238 1.799 Y
6.174 -2.807 3.495 Y
4.937 0.000 2.647 Y
7.744 1.238 1.799 Y
1.238 2.129 1.799 Y
3.699 2.807 3.495 Y
-2.807 3.699 3.495 Y
0.000 4.937 2.647 Y
-1.238 7.744 1.799 Y
2.807 6.174 3.495 Y
4.455 2.225 0.000 Er
2.712 -0.481 5.295 Er
2.225 5.418 0.000 Er
0.481 2.712 5.295 Er
```

Computed properties:
Mass density = 5.46 Mg/m³
Symmetry = I4/m (87)
ΔH_f (0 K) = 506 meV per atom

5.
LaYEr5 | PBE-GGA | relaxed

Cell and atoms, written as POSCAR:
```
LaYEr5
1.0
-2.890 4.295 5.912
2.890 -4.295 5.912
2.890 4.295 -5.912
La Y Er
1 1 5
Cartesian
0.000 0.000 0.000 La
0.000 0.000 5.912 Y
2.890 1.536 0.000 Er
0.000 0.000 2.995 Er
0.000 4.295 0.000 Er
0.000 0.000 8.828 Er
0.000 2.759 5.912 Er
```

Computed properties:
Mass density = 6.02 Mg/m³
Polymorph energy (0 for the lowest one) = 6.83 eV per formula unit
Symmetry = Immm (71)
ΔH_f (0 K) = 1152 meV per atom

6.
LaY8Er5 | PBE-GGA | relaxed

Cell and atoms, written as POSCAR:
```
LaY8Er5
1.0
-4.793 4.793 5.006
4.793 -4.793 5.006
4.793 4.793 -5.006
La Y Er
1 8 5
Cartesian
0.000 0.000 0.000 La
3.109 3.960 -2.536 Y
1.684 0.833 2.470 Y
-0.685 3.148 0.967 Y
5.625 3.109 2.536 Y
0.685 6.437 0.967 Y
1.644 4.108 4.038 Y
-0.833 1.684 7.542 Y
-1.644 5.478 4.038 Y
5.850 2.794 -0.756 Er
4.793 0.000 2.503 Er
2.794 3.735 0.756 Er
-1.058 1.999 4.250 Er
1.999 1.058 5.762 Er
```

Computed properties:
Mass density = 6.09 Mg/m³
Symmetry = I-4 (82)
ΔH_f (0 K) = 246 meV per atom

7.
La8YEr5 | PBE-GGA | relaxed

Cell and atoms, written as POSCAR:
```
La8YEr5
1.0
-4.890 4.890 5.206
4.890 -4.890 5.206
4.890 4.890 -5.206
La Y Er
8 1 5
Cartesian
6.648 0.890 -0.029 La
4.223 3.229 -1.637 La
0.890 3.132 0.029 La
0.667 1.661 3.569 La
1.661 -0.667 6.844 La
4.000 1.758 5.236 La
3.229 5.557 1.637 La
-1.758 4.000 5.177 La
0.000 0.000 0.000 Y
2.926 -1.047 3.353 Er
3.843 1.964 1.853 Er
1.964 5.936 -1.853 Er
0.000 4.890 2.603 Er
1.047 2.926 7.059 Er
```

Computed properties:
Mass density = 6.79 Mg/m³
Symmetry = I-4 (82)
ΔH_f (0 K) = 248 meV per atom

8.
La4Y3Er4 | PBE-GGA | relaxed

Cell and atoms, written as POSCAR:
```
La4Y3Er4
1.0
18.239 -2.836 0.000
18.239 2.836 0.000
-0.353 0.000 3.601
La Y Er
4 3 4
Cartesian
1.890 0.000 0.198 La
11.474 0.000 2.959 La
24.651 0.000 0.642 La
34.235 0.000 3.403 La
5.114 0.000 2.336 Y
18.063 0.000 1.800 Y
31.011 0.000 1.265 Y
8.484 0.000 0.848 Er
14.712 0.000 1.457 Er
21.413 0.000 2.144 Er
27.641 0.000 2.753 Er
```

Computed properties:
Mass density = 6.65 Mg/m³
Symmetry = C2/m (12)
ΔH_f (0 K) = 47 meV per atom

9.
La2Y5Er4 | PBE-GGA | relaxed

Cell and atoms, written as POSCAR:
```
La2Y5Er4
1.0
12.359 -1.757 0.000
12.359 1.757 0.000
-3.054 0.000 8.503
La Y Er
2 5 4
Cartesian
4.909 0.000 2.470 La
16.754 0.000 6.033 La
-1.527 0.000 4.252 Y
8.045 0.000 0.910 Y
7.651 0.000 4.513 Y
14.012 0.000 3.990 Y
13.619 0.000 7.594 Y
2.003 0.000 1.045 Er
11.548 0.000 1.513 Er
10.115 0.000 6.990 Er
19.661 0.000 7.458 Er
```

Computed properties:
Mass density = 6.26 Mg/m³
Polymorph energy (0 for the lowest one) = 1.28 eV per formula unit
Symmetry = C2/m (12)
ΔH_f (0 K) = 167 meV per atom

10.
LaY9Er2 | PBE-GGA | relaxed

Cell and atoms, written as POSCAR:
```
LaY9Er2
1.0
5.058 0.000 0.000
0.000 5.058 0.000
0.000 0.000 15.202
La Y Er
1 9 2
Cartesian
0.000 0.000 0.000 La
0.000 2.529 2.598 Y
0.000 2.529 7.601 Y
0.000 2.529 12.604 Y
2.529 0.000 2.598 Y
2.529 0.000 7.601 Y
2.529 0.000 12.604 Y
2.529 2.529 0.000 Y
2.529 2.529 5.109 Y
2.529 2.529 10.093 Y
0.000 0.000 5.087 Er
0.000 0.000 10.115 Er
```

Computed properties:
Mass density = 5.44 Mg/m³
Symmetry = P4/mmm (123)
ΔH_f (0 K) = 30 meV per atom

11.
La2Y5Er5 | PBE-GGA | relaxed

Cell and atoms, written as POSCAR:
```
La2Y5Er5
1.0
7.589 -2.538 0.000
7.589 2.538 0.000
-5.052 0.000 10.091
La Y Er
2 5 5
Cartesian
0.009 0.000 2.500 La
10.116 0.000 7.592 La
2.546 0.000 5.044 Y
5.023 0.000 2.517 Y
7.589 0.000 0.000 Y
5.102 0.000 7.574 Y
7.579 0.000 5.048 Y
-2.526 0.000 5.046 Er
2.566 0.000 0.005 Er
-0.030 0.000 7.569 Er
10.155 0.000 2.522 Er
7.559 0.000 10.086 Er
```

Computed properties:
Mass density = 6.66 Mg/m³
Symmetry = C2/m (12)
ΔH_f (0 K) = 33 meV per atom

12.
La3YEr7 | PBE-GGA | relaxed

Cell and atoms, written as POSCAR:
```
La3YEr7
1.0
6.341 -5.598 0.000
6.341 5.598 0.000
-2.694 0.000 5.196
La Y Er
3 1 7
Cartesian
0.000 0.000 0.000 La
4.994 3.182 2.598 La
4.994 -3.182 2.598 La
6.341 0.000 0.000 Y
2.083 2.198 1.082 Er
0.723 0.000 3.670 Er
2.083 -2.198 1.082 Er
4.994 0.000 2.598 Er
7.905 2.198 4.113 Er
9.265 0.000 1.526 Er
7.905 -2.198 4.113 Er
```

Computed properties:
Mass density = 7.55 Mg/m³
Polymorph energy (0 for the lowest one) = 1.35 eV per formula unit
Symmetry = C2/m (12)
ΔH_f (0 K) = 281 meV per atom

13.
La12Y5Er2 | PBE-GGA | relaxed

Cell and atoms, written as POSCAR:
```
La12Y5Er2
1.0
9.766 -3.816 0.000
9.766 3.816 0.000
-4.652 0.000 8.960
La Y Er
12 5 2
Cartesian
-1.343 0.000 2.646 La
6.525 2.043 0.051 La
3.573 1.910 5.879 La
8.354 2.043 8.909 La
11.306 1.910 3.081 La
8.748 0.000 1.386 La
6.131 0.000 7.574 La
3.573 -1.910 5.879 La
6.525 -2.043 0.051 La
11.306 -1.910 3.081 La
8.354 -2.043 8.909 La
16.222 0.000 6.314 La
0.000 0.000 0.000 Y
0.267 0.000 5.974 Y
4.868 0.000 2.781 Y
10.011 0.000 6.180 Y
14.612 0.000 2.986 Y
7.439 1.519 4.480 Er
7.439 -1.519 4.480 Er
```

Computed properties:
Mass density = 6.08 Mg/m³
Polymorph energy (0 for the lowest one) = 0.98 eV per formula unit
Symmetry = C2/m (12)
ΔH_f (0 K) = 146 meV per atom

14.
La3YEr4 | PBE-GGA | relaxed

Cell and atoms, written as POSCAR:
```
La3YEr4
1.0
-1.749 5.894 6.556
1.749 -5.894 6.556
1.749 5.894 -6.556
La Y Er
3 1 4
Cartesian
0.000 0.000 0.000 La
1.749 0.000 3.334 La
0.000 5.894 3.222 La
0.000 0.000 6.556 Y
1.749 3.010 -1.768 Er
1.749 3.010 1.768 Er
0.000 2.884 4.788 Er
0.000 2.884 8.325 Er
```

Computed properties:
Mass density = 7.22 Mg/m³
Symmetry = Immm (71)
ΔH_f (0 K) = 142 meV per atom

15.
La5Y3Er2 | PBE-GGA | relaxed

Cell and atoms, written as POSCAR:
```
La5Y3Er2
1.0
5.467 -7.401 0.000
5.467 7.401 0.000
-5.447 0.000 8.661
La Y Er
10 6 4
Cartesian
1.381 7.184 6.496 La
-1.356 1.924 6.582 La
1.381 4.071 6.496 La
1.367 -1.924 2.252 La
4.105 0.374 2.165 La
1.381 -0.374 6.496 La
4.119 1.924 6.410 La
4.105 -4.071 2.165 La
6.843 -1.924 2.079 La
4.105 -7.184 2.165 La
1.358 1.854 3.829 Y
4.105 3.435 2.165 Y
-1.365 -1.854 8.160 Y
6.852 1.854 0.502 Y
1.381 -3.435 6.496 Y
4.128 -1.854 4.832 Y
1.351 1.892 0.550 Er
-1.372 -1.892 4.880 Er
6.859 1.892 3.781 Er
4.135 -1.892 8.112 Er
```

Computed properties:
Mass density = 6.14 Mg/m³
Symmetry = C2/c (15)
ΔH_f (0 K) = 161 meV per atom

16.
La3Y3Er2 | PBE-GGA | relaxed

Cell and atoms, written as POSCAR:
```
La3Y3Er2
1.0
-2.537 2.581 10.292
2.537 -2.581 10.292
2.537 2.581 -10.292
La Y Er
3 3 2
Cartesian
0.000 0.000 0.000 La
2.537 0.000 7.693 La
0.000 2.581 2.599 La
2.537 0.000 2.646 Y
0.000 0.000 10.292 Y
0.000 2.581 7.646 Y
0.000 0.000 5.123 Er
0.000 0.000 15.461 Er
```

Computed properties:
Mass density = 6.27 Mg/m³
Symmetry = Immm (71)
ΔH_f (0 K) = 35 meV per atom

17.
La4Y3Er | PBE-GGA | relaxed

Cell and atoms, written as POSCAR:
```
La4Y3Er
1.0
-2.576 2.585 10.346
2.576 -2.585 10.346
2.576 2.585 -10.346
La Y Er
4 3 1
Cartesian
0.000 0.000 2.510 La
2.576 0.000 5.178 La
0.000 2.585 5.168 La
0.000 0.000 18.182 La
0.000 0.000 7.816 Y
0.000 2.585 0.000 Y
0.000 0.000 12.875 Y
2.576 0.000 0.000 Er
```

Computed properties:
Mass density = 5.96 Mg/m³
Polymorph energy (0 for the lowest one) = 0.00 eV per formula unit
Symmetry = Immm (71)
ΔH_f (0 K) = 31 meV per atom

18.
La4Y3Er | PBE-GGA | relaxed

Cell and atoms, written as POSCAR:
```
La4Y3Er
1.0
12.518 -1.735 0.000
12.518 1.735 0.000
-0.258 0.000 6.349
La Y Er
4 3 1
Cartesian
2.595 0.000 1.540 La
6.803 0.000 4.770 La
17.974 0.000 1.578 La
22.182 0.000 4.809 La
-0.129 0.000 3.174 Y
3.286 0.000 4.757 Y
21.492 0.000 1.592 Y
12.518 0.000 0.000 Er
```

Computed properties:
Mass density = 5.96 Mg/m³
Polymorph energy (0 for the lowest one) = 1.52 eV per formula unit
Symmetry = C2/m (12)
ΔH_f (0 K) = 221 meV per atom

19.
La3Y2Er | PBE-GGA | relaxed

Cell and atoms, written as POSCAR:
```
La3Y2Er
1.0
2.963 -8.895 0.000
2.963 8.895 0.000
0.000 0.000 3.939
La Y Er
3 2 1
Cartesian
0.000 0.000 0.000 La
2.963 2.928 0.000 La
2.963 -2.928 0.000 La
2.963 5.915 1.970 Y
2.963 -5.915 1.970 Y
2.963 0.000 1.970 Er
```

Computed properties:
Mass density = 6.09 Mg/m³
Symmetry = Cmmm (65)
ΔH_f (0 K) = 68 meV per atom

20.
La2Y4Er3 | PBE-GGA | relaxed

Cell and atoms, written as POSCAR:
```
La2Y4Er3
1.0
0.000 6.210 8.022
3.062 0.000 8.022
3.062 6.210 0.000
La Y Er
2 4 3
Cartesian
3.062 6.210 1.809 La
3.062 6.210 14.234 La
3.062 4.421 5.013 Y
3.062 8.000 5.013 Y
3.062 4.421 11.030 Y
3.062 8.000 11.030 Y
1.531 3.105 0.000 Er
1.531 3.105 8.022 Er
3.062 6.210 8.022 Er
```

Computed properties:
Mass density = 6.18 Mg/m³
Symmetry = Fmmm (69)
ΔH_f (0 K) = 169 meV per atom

Taking the records one at a time from the top gives size of the total moment values of 0.00, 1.50, 0.00, 0.00, 0.00, 0.00, 0.00, 0.00, 0.00, 0.00, 0.00, 0.28, 0.00, 0.00, 0.00, 0.00, 0.00, 0.00, 0.00, 0.00 Bohr magnetons per cell.